A plane-wave DFT calculation with PBE-GGA was carried out for a relaxed structure of ScTaIn2.

Calculated density = 9.04 Mg/m³
Excess energy over the best structure of this formula in the dataset = 0.404 eV per formula unit
Calculated volume = 20.9 Å³/atom

Unit cell a=5.1414 b=3.0541 c=5.3284 alpha=90.01 beta=90.00 gamma=90.00
Fractional positions:
Ta 0.5000 0.6247 0.7707
In 0.5000 0.1247 0.2840
In 0.0000 0.1254 0.9660
Sc 0.0000 0.6253 0.4794

***

A plane-wave DFT calculation with PBE-GGA was carried out for a relaxed structure of ScTa2In.

Total energy = -8.12 eV/atom
Calculated density = 10.79 Mg/m³
Calculated volume = 20.1 Å³/atom

Unit cell a=4.6076 b=2.9711 c=6.0543 alpha=75.66 beta=90.00 gamma=90.00
Fractional positions:
Ta 0.0000 0.0335 0.0053
Ta 0.5000 0.1766 0.2326
In 0.0000 0.4949 0.4922
Sc 0.5000 0.7950 0.7699

***

A plane-wave DFT calculation with PBE-GGA was carried out for a relaxed structure of Sc2TaIn.

Total energy = -6.76 eV/atom
Calculated density = 7.54 Mg/m³
Calculated volume = 21.2 Å³/atom

Unit cell a=5.9157 b=5.9157 c=5.9157 alpha=148.19 beta=128.20 gamma=62.08
Fractional positions:
Sc 0.0081 0.0081 0.0000
Sc 0.4919 0.4919 0.0000
Ta 0.2500 0.7500 0.5000
In 0.7500 0.2500 0.5000

***

A plane-wave DFT calculation with PBE-GGA was carried out for a relaxed structure of Sc2TaIn.

Total energy = -6.89 eV/atom
Calculated density = 7.52 Mg/m³
Calculated volume = 21.3 Å³/atom

Unit cell a=3.1488 b=4.1738 c=6.4827 alpha=90.00 beta=90.00 gamma=90.00
Fractional positions:
Ta 0.5000 0.5000 0.2500
In 0.5000 0.5000 0.7500
Sc 0.0000 0.0000 0.4878
Sc 0.0000 0.0000 0.0122

***

A plane-wave DFT calculation with PBE-GGA was carried out for a relaxed structure of ScTa4In.

Total energy = -9.19 eV/atom
Calculated density = 11.96 Mg/m³
Calculated volume = 20.5 Å³/atom

Unit cell a=5.5779 b=5.5779 c=5.5779 alpha=60.00 beta=60.00 gamma=60.00
Fractional positions:
Ta 0.3730 0.3730 0.3730
Ta 0.3730 0.8810 0.3730
Ta 0.8810 0.3730 0.3730
Ta 0.3730 0.3730 0.8810
Sc 0.0000 0.0000 0.0000
In 0.7500 0.7500 0.7500

***

A plane-wave DFT calculation with PBE-GGA was carried out for a relaxed structure of Sc2TaIn.

Total energy = -6.83 eV/atom
Calculated density = 7.48 Mg/m³
Calculated volume = 21.4 Å³/atom

Unit cell a=5.4246 b=5.4246 c=5.4417 alpha=82.46 beta=82.46 gamma=32.66
Fractional positions:
Ta 0.5063 0.5063 0.5164
Sc 0.7608 0.7608 0.7238
Sc 0.9888 0.9888 0.0128
In 0.2442 0.2442 0.2471

***

A plane-wave DFT calculation with PBE-GGA was carried out for a relaxed structure of ScTa2In.

Total energy = -8.13 eV/atom
Calculated density = 10.76 Mg/m³
Calculated volume = 20.1 Å³/atom

Unit cell a=2.9465 b=2.9465 c=9.2692 alpha=90.00 beta=90.00 gamma=90.00
Fractional positions:
Ta 0.5000 0.5000 0.2462
Ta 0.0000 0.0000 0.0046
In 0.0000 0.0000 0.4927
Sc 0.5000 0.5000 0.7565

***

A plane-wave DFT calculation with PBE-GGA was carried out for a relaxed structure of Sc2TaIn.

Total energy = -6.61 eV/atom
Calculated density = 6.80 Mg/m³
Calculated volume = 23.6 Å³/atom

Unit cell a=11.0530 b=11.0530 c=11.0530 alpha=16.43 beta=16.43 gamma=16.43
Fractional positions:
Ta 0.5000 0.5000 0.5000
Sc 0.0943 0.0943 0.0943
Sc 0.9057 0.9057 0.9057
In 0.0000 0.0000 0.0000

***

A plane-wave DFT calculation with PBE-GGA was carried out for a relaxed structure of ScTa2In.

Total energy = -8.07 eV/atom
Calculated density = 10.79 Mg/m³
Calculated volume = 20.1 Å³/atom

Unit cell a=5.1482 b=5.1482 c=5.4786 alpha=83.04 beta=83.04 gamma=33.87
Fractional positions:
Ta 0.7527 0.7527 0.7679
Ta 0.0074 0.0074 0.9817
Sc 0.2449 0.2449 0.2537
In 0.4950 0.4950 0.4967

***

A plane-wave DFT calculation with PBE-GGA was carried out for a relaxed structure of Sc2TaIn.

Total energy = -6.69 eV/atom
Calculated density = 7.66 Mg/m³
Calculated volume = 20.9 Å³/atom

Unit cell a=4.9091 b=4.9091 c=4.9091 alpha=60.00 beta=60.00 gamma=60.00
Fractional positions:
Sc 0.0000 0.0000 0.0000
Sc 0.2500 0.2500 0.2500
In 0.5000 0.5000 0.5000
Ta 0.7500 0.7500 0.7500

***

A plane-wave DFT calculation with PBE-GGA was carried out for a relaxed structure of ScTa2In.

Total energy = -8.16 eV/atom
Calculated density = 10.75 Mg/m³
Calculated volume = 20.2 Å³/atom

Unit cell a=2.9681 b=2.9681 c=9.4323 alpha=90.00 beta=90.00 gamma=104.05
Fractional positions:
In 0.0000 0.0000 0.4928
Ta 0.5000 0.5000 0.2393
Ta 0.0000 0.0000 0.0066
Sc 0.5000 0.5000 0.7613

***

A plane-wave DFT calculation with PBE-GGA was carried out for a relaxed structure of ScTa2In.

Total energy = -8.06 eV/atom
Calculated density = 10.93 Mg/m³
Calculated volume = 19.8 Å³/atom

Unit cell a=5.6082 b=5.7307 c=2.9148 alpha=80.80 beta=78.88 gamma=116.12
Fractional positions:
Ta 0.5000 0.0000 0.5000
Ta 0.0000 0.0000 0.0000
In 0.0000 0.5000 0.5000
Sc 0.5000 0.5000 0.0000

***

A plane-wave DFT calculation with PBE-GGA was carried out for a relaxed structure of ScTa2In.

Total energy = -7.45 eV/atom
Calculated density = 10.02 Mg/m³
Calculated volume = 21.6 Å³/atom

Unit cell a=7.8528 b=7.8528 c=6.2203 alpha=50.86 beta=50.86 gamma=90.00
Fractional positions:
Ta 0.1118 0.6250 0.2500
Ta 0.3750 0.3618 0.7500
Ta 0.8750 0.8882 0.7500
Ta 0.6382 0.1250 0.2500
In 0.0000 0.0000 0.0000
In 0.7500 0.2500 0.5000
Sc 0.2500 0.7500 0.5000
Sc 0.5000 0.5000 0.0000

***

A plane-wave DFT calculation with PBE-GGA was carried out for a relaxed structure of ScTa2In.

Total energy = -7.96 eV/atom
Calculated density = 10.66 Mg/m³
Calculated volume = 20.3 Å³/atom

Unit cell a=10.2261 b=10.2261 c=10.2261 alpha=17.17 beta=17.17 gamma=17.17
Fractional positions:
Ta 0.5004 0.5004 0.5004
Ta 0.9996 0.9996 0.9996
In 0.2500 0.2500 0.2500
Sc 0.7500 0.7500 0.7500

***

A plane-wave DFT calculation with PBE-GGA was carried out for a relaxed structure of ScTa2In.

Total energy = -8.15 eV/atom
Calculated density = 10.97 Mg/m³
Calculated volume = 19.7 Å³/atom

Unit cell a=4.7043 b=4.0965 c=4.0965 alpha=90.00 beta=90.00 gamma=90.00
Fractional positions:
Ta 0.0000 0.5000 0.5000
Ta 0.0000 0.0000 0.0000
In 0.5000 0.5000 0.0000
Sc 0.5000 0.0000 0.5000

***

A plane-wave DFT calculation with PBE-GGA was carried out for a relaxed structure of ScTaIn2.

Calculated density = 9.00 Mg/m³
Excess energy over the best structure of this formula in the dataset = 0.547 eV per formula unit
Calculated volume = 21.0 Å³/atom

Unit cell a=3.6949 b=3.6949 c=6.1544 alpha=90.00 beta=90.00 gamma=90.00
Fractional positions:
Ta 0.5000 0.5000 0.7500
In 0.0000 0.0000 0.5104
In 0.0000 0.0000 0.9896
Sc 0.5000 0.5000 0.2500

***

A plane-wave DFT calculation with PBE-GGA was carried out for a relaxed structure of ScTa2In.

Total energy = -8.02 eV/atom
Calculated density = 10.72 Mg/m³
Calculated volume = 20.2 Å³/atom

Unit cell a=2.9479 b=4.7213 c=5.8079 alpha=90.00 beta=90.00 gamma=90.00
Fractional positions:
Sc 0.5000 0.5000 0.7500
Ta 0.0000 0.0000 0.9879
Ta 0.0000 0.0000 0.5121
In 0.5000 0.5000 0.2500

***

A plane-wave DFT calculation with PBE-GGA was carried out for a relaxed structure of ScTaIn2.

Calculated density = 9.01 Mg/m³
Excess energy over the best structure of this formula in the dataset = 0.227 eV per formula unit
Calculated volume = 21.0 Å³/atom

Unit cell a=5.6317 b=5.6317 c=5.6317 alpha=136.36 beta=136.36 gamma=63.42
Fractional positions:
In 0.0000 0.0000 0.0000
In 0.2500 0.7500 0.5000
Ta 0.7500 0.2500 0.5000
Sc 0.5000 0.5000 0.0000

***

A plane-wave DFT calculation with PBE-GGA was carried out for a relaxed structure of Sc2TaIn.

Total energy = -6.76 eV/atom
Calculated density = 7.41 Mg/m³
Calculated volume = 21.6 Å³/atom

Unit cell a=3.7000 b=3.7000 c=6.3091 alpha=90.00 beta=90.00 gamma=90.00
Fractional positions:
Sc 0.5000 0.5000 0.2754
Sc 0.0000 0.0000 0.9955
In 0.5000 0.5000 0.7402
Ta 0.0000 0.0000 0.4889

***

A plane-wave DFT calculation with PBE-GGA was carried out for a relaxed structure of ScTaIn2.

Calculated density = 9.15 Mg/m³
Excess energy over the best structure of this formula in the dataset = 0.104 eV per formula unit
Calculated volume = 20.7 Å³/atom

Unit cell a=3.0568 b=4.3903 c=6.1611 alpha=90.00 beta=90.00 gamma=90.00
Fractional positions:
Ta 0.5000 0.5000 0.7500
Sc 0.5000 0.5000 0.2500
In 0.0000 0.0000 0.5069
In 0.0000 0.0000 0.9931

***

A plane-wave DFT calculation with PBE-GGA was carried out for a relaxed structure of ScTaIn2.

Calculated density = 8.75 Mg/m³
Excess energy over the best structure of this formula in the dataset = 0.709 eV per formula unit
Calculated volume = 21.6 Å³/atom

Unit cell a=5.9023 b=5.9023 c=5.9023 alpha=147.55 beta=127.69 gamma=62.92
Fractional positions:
In 0.4937 0.4937 0.0000
In 0.0063 0.0063 0.0000
Sc 0.7500 0.2500 0.5000
Ta 0.2500 0.7500 0.5000

***

A plane-wave DFT calculation with PBE-GGA was carried out for a relaxed structure of ScTaIn2.

Calculated density = 9.04 Mg/m³
Excess energy over the best structure of this formula in the dataset = 0.790 eV per formula unit
Calculated volume = 20.9 Å³/atom

Unit cell a=4.9090 b=4.9090 c=4.9090 alpha=60.00 beta=60.00 gamma=60.00
Fractional positions:
Sc 0.0000 0.0000 0.0000
In 0.2500 0.2500 0.2500
In 0.7500 0.7500 0.7500
Ta 0.5000 0.5000 0.5000

***

A plane-wave DFT calculation with PBE-GGA was carried out for a relaxed structure of Sc2TaIn.

Total energy = -6.74 eV/atom
Calculated density = 7.27 Mg/m³
Calculated volume = 22.0 Å³/atom

Unit cell a=10.3348 b=10.3348 c=10.3348 alpha=17.60 beta=17.60 gamma=17.60
Fractional positions:
Sc 0.0017 0.0017 0.0017
Sc 0.2449 0.2449 0.2449
In 0.7529 0.7529 0.7529
Ta 0.5004 0.5004 0.5004

***

A plane-wave DFT calculation with PBE-GGA was carried out for a relaxed structure of Sc2TaIn.

Total energy = -6.78 eV/atom
Calculated density = 7.52 Mg/m³
Calculated volume = 21.3 Å³/atom

Unit cell a=5.3779 b=5.3779 c=5.4090 alpha=77.44 beta=77.44 gamma=33.97
Fractional positions:
Sc 0.0030 0.0030 0.9938
Sc 0.4970 0.4970 0.5062
In 0.2500 0.2500 0.2500
Ta 0.7500 0.7500 0.7500

***

A plane-wave DFT calculation with PBE-GGA was carried out for a relaxed structure of ScTa2In.

Total energy = -8.05 eV/atom
Calculated density = 10.61 Mg/m³
Calculated volume = 20.4 Å³/atom

Unit cell a=10.0528 b=10.0528 c=10.0528 alpha=17.67 beta=17.67 gamma=17.67
Fractional positions:
Ta 0.9995 0.9995 0.9995
Ta 0.2524 0.2524 0.2524
In 0.5015 0.5015 0.5015
Sc 0.7466 0.7466 0.7466

***

A plane-wave DFT calculation with PBE-GGA was carried out for a relaxed structure of ScTa2In.

Total energy = -8.00 eV/atom
Calculated density = 10.79 Mg/m³
Calculated volume = 20.1 Å³/atom

Unit cell a=2.9264 b=2.9264 c=9.4304 alpha=90.00 beta=90.00 gamma=96.42
Fractional positions:
In 0.5000 0.5000 0.2500
Ta 0.0000 0.0000 0.0042
Ta 0.0000 0.0000 0.4958
Sc 0.5000 0.5000 0.7500

***

A plane-wave DFT calculation with PBE-GGA was carried out for a relaxed structure of ScTaIn2.

Calculated density = 9.14 Mg/m³
Excess energy over the best structure of this formula in the dataset = 0.304 eV per formula unit
Calculated volume = 20.7 Å³/atom

Unit cell a=4.3585 b=4.3570 c=4.3570 alpha=90.00 beta=90.00 gamma=90.00
Fractional positions:
Sc 0.5000 0.5000 0.0000
In 0.0000 0.5000 0.5000
In 0.0000 0.0000 0.0000
Ta 0.5000 0.0000 0.5000

***

A plane-wave DFT calculation with PBE-GGA was carried out for a relaxed structure of ScTaIn3.

Calculated density = 6.36 Mg/m³
Excess energy over the best structure of this formula in the dataset = 0.000 eV per formula unit
Calculated volume = 29.8 Å³/atom

Unit cell a=5.3014 b=5.3014 c=5.3014 alpha=90.00 beta=90.00 gamma=90.00
Fractional positions:
In 0.5000 0.0000 0.0000
In 0.0000 0.0000 0.5000
In 0.0000 0.5000 0.0000
Ta 0.0000 0.0000 0.0000
Sc 0.5000 0.5000 0.5000

***

A plane-wave DFT calculation with PBE-GGA was carried out for a relaxed structure of ScTa2In.

Total energy = -8.07 eV/atom
Calculated density = 10.94 Mg/m³
Calculated volume = 19.8 Å³/atom

Unit cell a=5.2475 b=5.2475 c=5.2475 alpha=131.56 beta=131.58 gamma=70.91
Fractional positions:
In 0.5000 0.5000 0.0000
Ta 0.7501 0.2501 0.5000
Ta 0.9999 0.9999 0.0000
Sc 0.2499 0.7499 0.5000

***

A plane-wave DFT calculation with PBE-GGA was carried out for a relaxed structure of ScTaIn2.

Calculated density = 8.44 Mg/m³
Excess energy over the best structure of this formula in the dataset = 0.770 eV per formula unit
Calculated volume = 22.4 Å³/atom

Unit cell a=10.2749 b=10.2749 c=10.2749 alpha=17.92 beta=17.92 gamma=17.92
Fractional positions:
In 0.0048 0.0048 0.0048
In 0.2484 0.2484 0.2484
Sc 0.4948 0.4948 0.4948
Ta 0.7520 0.7520 0.7520